[1]
# PBE SiSBr2, relaxed
# E above lowest polymorph = 14.45 kcal/mol of atoms
# density of states at the Fermi level = 2.2 states/eV/f.u.
# total energy = -2.493 eV/atom
# uncorrected formation energy = 0.731 eV per atom
data_SiSBr2
_chemical_formula_sum 'Si4 S4 Br8'
_cell_length_a 7.122
_cell_length_b 7.122
_cell_length_c 7.122
_cell_angle_alpha 90.00
_cell_angle_beta 90.00
_cell_angle_gamma 90.00
_space_group_name_H-M_alt 'F m -3 m'
_space_group_IT_number 225
_space_group_name_Hall '-F 4 2 3'
loop_
_atom_site_label
_atom_site_type_symbol
_atom_site_fract_x
_atom_site_fract_y
_atom_site_fract_z
Si1 Si 0.000 0.000 0.000
S1 S 0.000 0.000 0.500
Br1 Br 0.250 0.250 0.250

---

[2]
# PBE AsPAu2, relaxed
# E above lowest polymorph = 3.29 kcal/mol of atoms
# density of states at the Fermi level = 1.1 states/eV/f.u.
# formation energy from the elements = 264 meV/atom
# total energy = -3.890 eV/atom
data_AsPAu2
_chemical_formula_sum 'As2 P2 Au4'
_cell_length_a 3.328
_cell_length_b 3.847
_cell_length_c 11.857
_cell_angle_alpha 90.00
_cell_angle_beta 90.00
_cell_angle_gamma 90.00
_space_group_name_H-M_alt 'I m m 2'
_space_group_IT_number 44
loop_
_space_group_symop_operation_xyz
'x,y,z'
'-x,-y,z'
'-x,y,z'
'x,-y,z'
'x+1/2,y+1/2,z+1/2'
'-x+1/2,-y+1/2,z+1/2'
'-x+1/2,y+1/2,z+1/2'
'x+1/2,-y+1/2,z+1/2'
loop_
_atom_site_label
_atom_site_type_symbol
_atom_site_fract_x
_atom_site_fract_y
_atom_site_fract_z
As1 As 0.000 0.000 0.000
P1 P 0.000 0.500 0.342
Au1 Au 0.000 0.000 0.602
Au2 Au 0.000 0.500 0.783

---

[3]
# PBE Te2As2Br, relaxed
# E above lowest polymorph = 2.41 kcal/mol of atoms
# density of states at the Fermi level = 2.4 states/eV/f.u.
# total energy = -3.346 eV/atom
# uncorrected formation energy = 0.105 eV per atom
data_Te2As2Br
_chemical_formula_sum 'Te4 As4 Br2'
_cell_length_a 5.020
_cell_length_b 5.020
_cell_length_c 12.351
_cell_angle_alpha 90.00
_cell_angle_beta 90.00
_cell_angle_gamma 90.00
_space_group_name_H-M_alt 'I 4/m m m'
_space_group_IT_number 139
_space_group_name_Hall '-I 4 2'
loop_
_atom_site_label
_atom_site_type_symbol
_atom_site_fract_x
_atom_site_fract_y
_atom_site_fract_z
Te1 Te 0.000 0.000 0.150
As1 As 0.000 0.500 0.250
Br1 Br 0.000 0.000 0.500

---

[4]
# PBE SmDy4Sc5, relaxed
# density of states at the Fermi level = 14.8 states/eV/f.u.
# formation energy from the elements = 246 meV/atom
# total energy = -5.232 eV/atom
data_SmDy4Sc5
_chemical_formula_sum 'Sm2 Dy8 Sc10'
_cell_length_a 10.120
_cell_length_b 10.120
_cell_length_c 5.656
_cell_angle_alpha 90.00
_cell_angle_beta 90.00
_cell_angle_gamma 90.00
_space_group_name_H-M_alt 'I 4 m m'
_space_group_IT_number 107
_space_group_name_Hall 'I 4 -2'
loop_
_atom_site_label
_atom_site_type_symbol
_atom_site_fract_x
_atom_site_fract_y
_atom_site_fract_z
Sm1 Sm 0.000 0.000 0.000
Dy1 Dy 0.000 0.323 0.740
Sc1 Sc 0.000 0.000 0.523
Sc2 Sc 0.190 0.190 0.275

---

[5]
# PBE Tm2Sc5CdTc2, relaxed
# density of states at the Fermi level = 11.0 states/eV/f.u.
# formation energy from the elements = -165 meV/atom
# total energy = -6.390 eV/atom
data_Tm2Sc5CdTc2
_chemical_formula_sum 'Tm4 Sc10 Cd2 Tc4'
_cell_length_a 10.828
_cell_length_b 10.828
_cell_length_c 3.894
_cell_angle_alpha 90.00
_cell_angle_beta 90.00
_cell_angle_gamma 90.00
_space_group_name_H-M_alt 'P 4/m b m'
_space_group_IT_number 127
_space_group_name_Hall '-P 4 2ab'
loop_
_atom_site_label
_atom_site_type_symbol
_atom_site_fract_x
_atom_site_fract_y
_atom_site_fract_z
Tm1 Tm 0.173 0.327 0.000
Sc1 Sc 0.000 0.500 0.500
Sc2 Sc 0.072 0.787 0.500
Cd1 Cd 0.000 0.000 0.000
Tc1 Tc 0.122 0.622 0.000

---

[6]
# PBE CaCe2As3Rh4, relaxed
# density of states at the Fermi level = 10.7 states/eV/f.u.
# formation energy from the elements = -882 meV/atom
# total energy = -6.604 eV/atom
data_CaCe2As3Rh4
_chemical_formula_sum 'Ca1 Ce2 As3 Rh4'
_cell_length_a 4.074
_cell_length_b 4.074
_cell_length_c 11.625
_cell_angle_alpha 90.00
_cell_angle_beta 90.00
_cell_angle_gamma 90.00
_space_group_name_H-M_alt 'P -4 m 2'
_space_group_IT_number 115
loop_
_space_group_symop_operation_xyz
'x,y,z'
'y,-x,-z'
'-x,-y,z'
'-y,x,-z'
'-x,y,z'
'-y,-x,-z'
'x,-y,z'
'y,x,-z'
loop_
_atom_site_label
_atom_site_type_symbol
_atom_site_fract_x
_atom_site_fract_y
_atom_site_fract_z
Ca1 Ca 0.000 0.000 0.000
Ce1 Ce 0.000 0.500 0.732
As1 As 0.000 0.500 0.376
As2 As 0.500 0.500 0.000
Rh1 Rh 0.000 0.000 0.500
Rh2 Rh 0.000 0.500 0.168
Rh3 Rh 0.500 0.500 0.500

---

[7]
# PBE Tb2ZnPt2, relaxed
# density of states at the Fermi level = 1.9 states/eV/f.u.
# formation energy from the elements = -967 meV/atom
# total energy = -5.490 eV/atom
data_Tb2ZnPt2
_chemical_formula_sum 'Tb8 Zn4 Pt8'
_cell_length_a 7.143
_cell_length_b 11.148
_cell_length_c 5.745
_cell_angle_alpha 90.00
_cell_angle_beta 90.00
_cell_angle_gamma 90.00
_space_group_name_H-M_alt 'I b a m'
_space_group_IT_number 72
_space_group_name_Hall '-I 2 2c'
loop_
_atom_site_label
_atom_site_type_symbol
_atom_site_fract_x
_atom_site_fract_y
_atom_site_fract_z
Tb1 Tb 0.159 0.146 0.000
Zn1 Zn 0.000 0.500 0.250
Pt1 Pt 0.241 0.109 0.500

---

[8]
# PBE Li2Ga3Hg4, relaxed
# density of states at the Fermi level = 2.6 states/eV/f.u.
# formation energy from the elements = -130 meV/atom
# total energy = -1.698 eV/atom
data_Li2Ga3Hg4
_chemical_formula_sum 'Li2 Ga3 Hg4'
_cell_length_a 4.693
_cell_length_b 4.760
_cell_length_c 9.347
_cell_angle_alpha 84.65
_cell_angle_beta 86.46
_cell_angle_gamma 62.54
_space_group_name_H-M_alt 'P -1'
_space_group_IT_number 2
loop_
_space_group_symop_operation_xyz
'x,y,z'
'-x,-y,-z'
loop_
_atom_site_label
_atom_site_type_symbol
_atom_site_fract_x
_atom_site_fract_y
_atom_site_fract_z
Li1 Li 0.165 0.170 0.223
Ga1 Ga 0.167 0.158 0.552
Ga2 Ga 0.500 0.500 0.000
Hg1 Hg 0.165 0.168 0.883
Hg2 Hg 0.495 0.501 0.324